{
  "formula": "Sc5Pb4N",
  "functional": "PBE-GGA",
  "state": "relaxed",
  "rho_g_cm3": 7.53,
  "vol_a3_per_cell": 236,
  "energy_ev_per_cell": -59.73,
  "lattice": [[5.953, 0.000, 0.000], [2.976, 6.290, 0.000], [2.976, 0.000, 6.290]],
  "species": ["Sc", "Sc", "Sc", "Sc", "Sc", "Pb", "Pb", "Pb", "Pb", "N"],
  "fractional_positions": [[0.224, 0.887, 0.669], [0.420, 0.000, 0.000], [0.893, 0.331, 0.887], [0.111, 0.669, 0.113], [0.780, 0.113, 0.331], [0.178, 0.268, 0.391], [0.446, 0.391, 0.732], [0.569, 0.609, 0.268], [0.837, 0.732, 0.609], [0.054, 0.000, 0.000]]
}

***

{
  "formula": "LaMn2Pb",
  "functional": "PBE-GGA",
  "state": "relaxed",
  "rho_g_cm3": 8.00,
  "vol_a3_per_cell": 95,
  "energy_ev_per_cell": -26.89,
  "lattice": [[-4.818, 3.540, -2.136], [-5.950, 1.579, 1.551], [-3.419, 5.087, 1.656]],
  "species": ["Pb", "La", "Mn", "Mn"],
  "fractional_positions": [[0.534, 0.534, 0.534], [0.738, 0.738, 0.738], [0.950, 0.950, 0.950], [0.277, 0.277, 0.277]]
}

***

{
  "formula": "DyTl3Cd2",
  "functional": "PBE-GGA",
  "state": "relaxed",
  "rho_g_cm3": 10.53,
  "vol_a3_per_cell": 158,
  "energy_ev_per_cell": -14.17,
  "lattice": [[4.200, 0.000, 0.000], [0.000, 4.656, -1.574], [0.000, 0.121, 8.031]],
  "species": ["Cd", "Cd", "Tl", "Tl", "Tl", "Dy"],
  "fractional_positions": [[0.000, 0.334, 0.669], [0.000, 0.666, 0.331], [0.500, 0.500, 0.000], [0.500, 0.831, 0.661], [0.500, 0.169, 0.339], [0.000, 0.000, 0.000]]
}

***

{
  "formula": "CrSb2WI",
  "functional": "PBE-GGA",
  "state": "relaxed",
  "rho_g_cm3": 7.31,
  "vol_a3_per_cell": 138,
  "energy_ev_per_cell": -25.32,
  "lattice": [[-1.256, 4.563, 1.755], [-3.361, 0.510, -3.731], [-3.800, -2.245, 3.117]],
  "species": ["Sb", "Sb", "I", "Cr", "W"],
  "fractional_positions": [[0.500, 0.000, 0.000], [0.000, 0.500, 0.000], [0.000, 0.000, 0.500], [0.000, 0.000, 0.000], [0.500, 0.500, 0.500]]
}